Below is a relaxed structure of Zn2In2Pd, with properties calculated at the PBE-GGA level.

Geometry as POSCAR:
```
Zn2In2Pd
1.0
6.790 0.000 0.000
0.000 6.790 0.000
0.000 0.000 4.202
Zn In Pd
4 4 2
direct
0.135 0.365 0.000
0.365 0.865 0.000
0.635 0.135 0.000
0.865 0.635 0.000
0.175 0.675 0.500
0.325 0.175 0.500
0.675 0.825 0.500
0.825 0.325 0.500
0.000 0.000 0.000
0.500 0.500 0.000
```

Output
D(E_F) in states/eV/atom: 0.359
DFT formation energy in eV per atom: -0.06
SG: P4/mbm
Polymorph energy (0 for the lowest one) in meV per atom: 0.0

---

Below is a relaxed structure of BeHS, with properties calculated at the PBE-GGA level.

Geometry as POSCAR:
```
BeHS
1.0
3.487 0.000 0.000
1.702 4.080 0.000
0.055 0.850 6.260
Be H S
2 2 2
direct
0.226 0.046 0.114
0.774 0.954 0.886
0.054 0.387 0.195
0.946 0.613 0.805
0.160 0.191 0.783
0.840 0.809 0.217
```

Output
D(E_F) in states/eV/atom: 0.201
SG: P-1
Polymorph energy (0 for the lowest one) in meV per atom: 500.4

---

Below is a relaxed structure of TbSm2As3, with properties calculated at the PBE-GGA level.

Geometry as POSCAR:
```
TbSm2As3
1.0
-2.095 2.095 8.889
2.095 -2.095 8.889
2.095 2.095 -8.889
Tb Sm As
1 2 3
direct
0.000 0.000 0.000
0.334 0.334 0.000
0.666 0.666 0.000
0.165 0.165 0.000
0.500 0.500 0.000
0.835 0.835 0.000
```

Output
D(E_F) in states/eV/atom: 0.157
DFT formation energy in eV per atom: -1.53
SG: I4/mmm

---

Below is a relaxed structure of Mn2NiH2, with properties calculated at the PBE-GGA level.

Geometry as POSCAR:
```
Mn2NiH2
1.0
5.332 0.000 0.000
0.000 5.332 0.000
0.000 0.000 2.628
Mn Ni H
4 2 4
direct
0.134 0.366 0.000
0.366 0.866 0.000
0.634 0.134 0.000
0.866 0.634 0.000
0.000 0.000 0.500
0.500 0.500 0.500
0.171 0.671 0.500
0.329 0.171 0.500
0.671 0.829 0.500
0.829 0.329 0.500
```

Output
D(E_F) in states/eV/atom: 0.692
SG: P4/mbm
Polymorph energy (0 for the lowest one) in meV per atom: 85.0

---

Below is a relaxed structure of Ba2SiHg, with properties calculated at the PBE-GGA level.

Geometry as POSCAR:
```
Ba2SiHg
1.0
4.139 0.000 0.000
0.000 4.139 0.000
0.000 0.000 9.192
Ba Si Hg
2 1 1
direct
0.000 0.000 0.000
0.500 0.500 0.441
0.500 0.500 0.795
0.000 0.000 0.634
```

Output
E_form (uncorrected) in meV/atom: -44
D(E_F) in states/eV/atom: 0.903
SG: P4mm

---

Below is a relaxed structure of LaNdTh14, with properties calculated at the PBE-GGA level.

Geometry as POSCAR:
```
LaNdTh14
1.0
11.656 0.000 0.000
0.000 3.595 6.240
0.000 -3.595 6.240
La Nd Th
1 1 14
direct
0.000 0.000 0.000
0.000 0.500 0.500
0.000 0.496 0.999
0.000 0.999 0.496
0.251 0.666 0.666
0.252 0.166 0.166
0.253 0.165 0.665
0.253 0.665 0.165
0.500 0.332 0.332
0.500 0.332 0.832
0.500 0.832 0.332
0.500 0.832 0.832
0.747 0.165 0.665
0.747 0.665 0.165
0.748 0.166 0.166
0.749 0.666 0.666
```

Output
D(E_F) in states/eV/atom: 1.255
DFT formation energy in eV per atom: 0.04
SG: Amm2

---

Question: Which of these has the highest D(E_F)?
Answer: LaNdTh14

---

Please write out number 5 again, unchanged.
Below is a relaxed structure of Ba2SiHg, with properties calculated at the PBE-GGA level.

Geometry as POSCAR:
```
Ba2SiHg
1.0
4.139 0.000 0.000
0.000 4.139 0.000
0.000 0.000 9.192
Ba Si Hg
2 1 1
direct
0.000 0.000 0.000
0.500 0.500 0.441
0.500 0.500 0.795
0.000 0.000 0.634
```

Output
E_form (uncorrected) in meV/atom: -44
D(E_F) in states/eV/atom: 0.903
SG: P4mm

---

Question: D(E_F) of number 3 (TbSm2As3)?
Answer: 0.157 states/eV/atom